A geometry-optimized LiScPaSe3 structure. Source: the Alexandria database, functional PBE.

Output
The uncorrected energy comes out at -72.4 eV per cell. The value obtained for the uncorrected formation energy is -1.3336 eV/atom. The space group is P2_1/m, No. 11.

POSCAR file:
```
LiScPaSe3
1.0
3.820 0.000 0.000
0.000 8.133 0.431
0.000 -2.694 8.290
Se Sc Li Pa
6 2 2 2
Cartesian
0.955 2.302 7.039
2.865 6.979 1.481
0.955 -1.540 7.240
2.865 3.137 1.682
2.865 0.573 4.198
0.955 4.865 4.524
2.865 0.427 7.229
0.955 5.012 1.493
2.865 6.258 3.819
0.955 -0.820 4.902
0.955 0.960 1.886
2.865 4.478 6.836
```